Run one
MgCdAs: relaxed, PBE-GGA.

Unit cell a=6.5715 b=6.5122 c=3.2402 alpha=76.68 beta=74.65 gamma=28.67
Closest atoms and distances in Å follow each position.
Fractional positions:
As 0.9871 0.9871 0.0129  4 Mg 2.79-2.92, 2 Cd 3.10
Cd 0.6649 0.6649 0.3351  4 As 3.10-3.22, 4 Mg 3.15-3.27, 4 Cd 3.24
Mg 0.3480 0.3480 0.6520  4 As 2.79-2.92

Run two
MgCdAs: relaxed, PBE-GGA.

Unit cell a=4.7009 b=4.7009 c=4.7009 alpha=60.00 beta=60.00 gamma=60.00
Closest atoms and distances in Å follow each position.
Fractional positions:
As 0.2500 0.2500 0.2500  4 Cd 2.88, 4 Mg 2.88
Cd 0.0000 0.0000 0.0000  4 As 2.88
Mg 0.5000 0.5000 0.5000  4 As 2.88

Run three
MgCdAs: relaxed, PBE-GGA.

Unit cell a=5.7335 b=5.7335 c=5.7335 alpha=148.20 beta=139.12 gamma=52.70
Closest atoms and distances in Å follow each position.
Fractional positions:
As 0.0226 0.0226 0.0000  4 Mg 2.84, 2 As 3.14
Cd 0.3330 0.3330 0.0000  2 Cd 3.14, 5 As 3.19-3.20, 5 Mg 3.20
Mg 0.6444 0.6444 0.0000  4 As 2.84, 2 Mg 3.14

Stability summary - winner: run two; margin: 0.088 eV/atom.